ScSiNi2 | GGA-PBE | relaxed

Structure (CIF):
```
data_ScSiNi2
_symmetry_space_group_name_H-M 'P m m m'
_symmetry_Int_Tables_number 47
_cell_length_a 3.1008
_cell_length_b 3.8142
_cell_length_c 5.0078
_cell_angle_alpha 90.00
_cell_angle_beta 90.00
_cell_angle_gamma 90.00
loop_
_symmetry_equiv_pos_as_xyz
'x,y,z'
'-x,-y,-z'
'-x,-y,z'
'x,y,-z'
'x,-y,-z'
'-x,y,z'
'-x,y,-z'
'x,-y,z'
loop_
_atom_site_label
_atom_site_type_symbol
_atom_site_fract_x
_atom_site_fract_y
_atom_site_fract_z
_atom_site_occupancy
Sc1 Sc 0.0000 0.0000 0.0000 1
Si1 Si 0.5000 0.0000 0.5000 1
Ni1 Ni 0.5000 0.5000 0.2498 1
```

Properties
Crystal system: orthorhombic
Raw formation energy (eV/atom): -0.462